No. 1
An optimized crystal structure of Ca2ScCu, computed with PBE.

POSCAR file:
```
Ca2ScCu
1.0
4.598 0.000 0.000
0.000 4.598 0.000
0.000 0.000 10.258
Ca Sc Cu
4 2 2
Cartesian
0.000 0.000 0.000 Ca
0.000 2.299 2.564 Ca
2.299 0.000 7.693 Ca
2.299 2.299 5.129 Ca
0.000 0.000 5.129 Sc
2.299 2.299 0.000 Sc
0.000 2.299 7.693 Cu
2.299 0.000 2.564 Cu
```

## Properties
Formation enthalpy at 0 K, eV/f.u.: 1.18
Magnetization, Bohr magnetons per cell: 0.004
Electronic total energy, eV/atom: -3.3122
Excess energy over the best structure of this formula in the dataset, kJ/mol of formula units: 122
Symmetry: I-4m2, No. 119

=====

No. 2
An optimized crystal structure of Ca2ScCu2Se4, computed with PBE.

POSCAR file:
```
Ca2ScCu2Se4
1.0
7.242 -1.944 0.000
7.242 1.944 0.000
-2.740 0.000 6.703
Ca Sc Cu Se
2 1 2 4
Cartesian
1.716 0.000 0.509 Ca
10.028 0.000 6.194 Ca
-1.370 0.000 3.351 Sc
3.166 0.000 3.397 Cu
8.578 0.000 3.305 Cu
1.000 0.000 4.852 Se
4.958 0.000 5.083 Se
6.786 0.000 1.619 Se
10.744 0.000 1.851 Se
```

## Properties
Magnetization, Bohr magnetons per cell: 0.377
Electronic total energy, eV/atom: -4.7992
ΔE_f (raw), eV/atom: -1.192
Symmetry: C2/m, No. 12

=====

No. 3
An optimized crystal structure of CaScCuSe3, computed with PBE.

POSCAR file:
```
CaScCuSe3
1.0
7.966 0.000 0.000
0.000 3.907 0.000
-2.164 0.000 8.635
Ca Sc Cu Se
2 2 2 6
Cartesian
1.021 0.977 2.170 Ca
4.782 2.930 6.464 Ca
0.773 2.930 7.192 Sc
5.029 0.977 1.443 Sc
-0.612 0.977 5.056 Cu
6.414 2.930 3.578 Cu
-1.111 0.977 7.458 Se
0.844 2.930 4.499 Se
3.119 2.930 1.332 Se
2.684 0.977 7.302 Se
4.959 0.977 4.136 Se
6.913 2.930 1.177 Se
```

## Properties
Magnetization, Bohr magnetons per cell: 0.000
Electronic total energy, eV/atom: -5.2438
ΔE_f (raw), eV/atom: -1.430
Symmetry: P2_1/m, No. 11

=====

No. 4
An optimized crystal structure of CaScCu2Si2, computed with PBE.

POSCAR file:
```
CaScCu2Si2
1.0
4.174 0.000 0.000
-2.087 3.615 0.000
0.000 0.000 7.092
Ca Sc Cu Si
1 1 2 2
Cartesian
0.000 0.000 0.000 Ca
0.000 0.000 3.546 Sc
0.000 2.410 4.950 Cu
2.087 1.205 2.142 Cu
0.000 2.410 2.061 Si
2.087 1.205 5.030 Si
```

## Properties
Magnetization, Bohr magnetons per cell: 0.000
Electronic total energy, eV/atom: -5.0990
ΔE_f (raw), eV/atom: -0.537
Symmetry: P-3m1, No. 164

=====

- The highest electronic total energy belongs to which entry?
  Ca2ScCu